The following is a GGA-PBE calculation of a relaxed structure of Ca3Pd2Au2, from Alexandria via LeMat-Bulk.

* total magnetization: 0.00 μB per cell
* total energy: -3.9480 eV per atom
* crystal system: triclinic

Geometry as POSCAR:
```
Ca3Pd2Au2
1.0
-0.721 -5.247 -1.317
2.353 2.575 4.215
-8.216 2.359 0.584
Au Ca Pd
2 3 2
direct
0.831 0.439 0.133
0.169 0.561 0.867
0.000 0.000 0.000
0.274 0.010 0.642
0.726 0.990 0.358
0.560 0.727 0.645
0.440 0.273 0.355
```